First-principles (PBE-GGA) data for crystalline MnZnFeRe at its relaxed geometry, as listed in Alexandria via LeMat-Bulk.

Computed properties:
Formation energy = 12.41 kJ per mole of atoms
DOS at the Fermi energy = 2.2 states/eV/cell
ρ = 12.176 Mg/m³
Volume = 49.4 Å³ per cell

Cell and atoms, written as extended XYZ:
```
4
Lattice="0.0000 2.9127 2.9127 2.9127 0.0000 2.9127 2.9127 2.9127 0.0000" Properties=species:S:1:pos:R:3 pbc="T T T"
Mn 0.0000 0.0000 0.0000
Zn 1.4563 1.4563 1.4563
Fe 2.9127 2.9127 2.9127
Re 4.3690 4.3690 4.3690
```

First-principles (PBE-GGA) data for crystalline Gd2MgCr at its relaxed geometry, as listed in Alexandria via LeMat-Bulk.

Computed properties:
Formation energy = 11.24 kJ per mole of atoms
DOS at the Fermi energy = 4.1 states/eV/cell
ρ = 6.305 Mg/m³
E above lowest polymorph = 0 meV/atom
Volume = 102.9 Å³ per cell

Cell and atoms, written as extended XYZ:
```
4
Lattice="3.6058 0.0000 0.0000 0.0000 3.6058 0.0000 0.0000 0.0000 7.9164" Properties=species:S:1:pos:R:3 pbc="T T T"
Gd 0.0000 0.0000 1.7442
Gd 0.0000 0.0000 6.1721
Mg 1.8029 1.8029 3.9582
Cr 1.8029 1.8029 0.0000
```